## P
# TaPd3Au2 | Alexandria | PBE | optimized geometry
data_TaPd3Au2
_chemical_formula_sum 'Ta2 Pd6 Au4'
_space_group_name_H-M_alt 'P 1'
_space_group_IT_number 1
_cell_length_a 4.0641
_cell_length_b 7.8744
_cell_length_c 7.5797
_cell_angle_alpha 121.29
_cell_angle_beta 105.55
_cell_angle_gamma 90.00
loop_
_space_group_symop_operation_xyz
'x,y,z'
loop_
_atom_site_label
_atom_site_fract_x
_atom_site_fract_y
_atom_site_fract_z
Pd1 0.8416 0.5916 0.6832
Pd2 0.1584 0.9084 0.3168
Pd3 0.5000 0.2500 0.0000
Pd4 0.5000 0.7500 0.0000
Pd5 0.1584 0.4084 0.3168
Pd6 0.8416 0.0916 0.6832
Au1 0.6622 0.6623 0.3245
Au2 0.3378 0.3377 0.6755
Au3 0.6623 0.1623 0.3245
Au4 0.3377 0.8377 0.6755
Ta1 0.0000 0.0000 0.0000
Ta2 0.0000 0.5000 0.0000
# - M_tot (μB/cell) = 0.0
# - space-group type = Cmmm, No. 65
# - D(E_F) (states/eV/f.u.) = 2.3
# - theoretical density (g/cm3) = 15.09
# - calculated volume (Å³ per cell) = 196.8

---

## Q
# TaPd3Au2 | Alexandria | PBE | optimized geometry
data_TaPd3Au2
_chemical_formula_sum 'Ta2 Pd6 Au4'
_space_group_name_H-M_alt 'P 1'
_space_group_IT_number 1
_cell_length_a 5.0328
_cell_length_b 5.0518
_cell_length_c 9.2637
_cell_angle_alpha 84.80
_cell_angle_beta 79.52
_cell_angle_gamma 60.12
loop_
_space_group_symop_operation_xyz
'x,y,z'
loop_
_atom_site_label
_atom_site_fract_x
_atom_site_fract_y
_atom_site_fract_z
Pd1 0.9228 0.6505 0.2401
Pd2 0.4267 0.6505 0.7599
Pd3 0.0772 0.3495 0.7599
Pd4 0.5733 0.3495 0.2401
Pd5 0.2714 0.0000 0.2402
Pd6 0.7286 0.0000 0.7598
Au1 0.5000 0.0000 0.5000
Au2 0.1660 0.6680 0.5000
Au3 0.0000 0.0000 0.0000
Au4 0.8340 0.3320 0.5000
Ta1 0.6690 0.6621 0.0000
Ta2 0.3310 0.3379 0.0000
# - M_tot (μB/cell) = 0.0
# - space-group type = C2/m, No. 12
# - D(E_F) (states/eV/f.u.) = 4.3
# - theoretical density (g/cm3) = 14.79
# - calculated volume (Å³ per cell) = 200.8

---

Stability, descending: P, Q

---

## P
# TaPd5Au | Alexandria | PBE | optimized geometry
data_TaPd5Au
_chemical_formula_sum 'Ta1 Pd5 Au1'
_space_group_name_H-M_alt 'P 1'
_space_group_IT_number 1
_cell_length_a 3.9776
_cell_length_b 3.9776
_cell_length_c 7.5721
_cell_angle_alpha 90.00
_cell_angle_beta 90.00
_cell_angle_gamma 90.00
loop_
_space_group_symop_operation_xyz
'x,y,z'
loop_
_atom_site_label
_atom_site_fract_x
_atom_site_fract_y
_atom_site_fract_z
Pd1 0.0000 0.5000 0.2239
Pd2 0.5000 0.0000 0.2239
Pd3 0.5000 0.0000 0.7761
Pd4 0.0000 0.5000 0.7761
Pd5 0.5000 0.5000 0.5000
Au1 0.0000 0.0000 0.5000
Ta1 0.5000 0.5000 0.0000
# - M_tot (μB/cell) = 0.0
# - space-group type = P4/mmm, No. 123
# - D(E_F) (states/eV/f.u.) = 3.5
# - theoretical density (g/cm3) = 12.61
# - calculated volume (Å³ per cell) = 119.8

---

## Q
# TaPd5Au | Alexandria | PBE | optimized geometry
data_TaPd5Au
_chemical_formula_sum 'Ta2 Pd10 Au2'
_space_group_name_H-M_alt 'P 1'
_space_group_IT_number 1
_cell_length_a 5.4658
_cell_length_b 5.4658
_cell_length_c 9.3985
_cell_angle_alpha 83.68
_cell_angle_beta 83.68
_cell_angle_gamma 59.08
loop_
_space_group_symop_operation_xyz
'x,y,z'
loop_
_atom_site_label
_atom_site_fract_x
_atom_site_fract_y
_atom_site_fract_z
Pd1 0.6085 0.6772 0.9866
Pd2 0.3228 0.3916 0.5134
Pd3 0.2283 0.7717 0.7500
Pd4 0.6759 0.8745 0.7115
Pd5 0.6772 0.6085 0.4866
Pd6 0.7717 0.2283 0.2500
Pd7 0.3916 0.3228 0.0134
Pd8 0.3241 0.1255 0.2885
Pd9 0.1255 0.3241 0.7885
Pd10 0.8745 0.6759 0.2115
Ta1 0.3149 0.6851 0.2500
Ta2 0.6851 0.3149 0.7500
Au1 0.0000 0.0000 0.5000
Au2 0.0000 0.0000 0.0000
# - M_tot (μB/cell) = 0.0
# - space-group type = C2/c, No. 15
# - D(E_F) (states/eV/f.u.) = 3.1
# - theoretical density (g/cm3) = 12.65
# - calculated volume (Å³ per cell) = 238.9

---

Stability, descending: P, Q

---

## P
# TbPd3Au | Alexandria | PBE | optimized geometry
data_TbPd3Au
_chemical_formula_sum 'Tb2 Pd6 Au2'
_space_group_name_H-M_alt 'P 1'
_space_group_IT_number 1
_cell_length_a 4.5019
_cell_length_b 6.0082
_cell_length_c 7.0299
_cell_angle_alpha 90.00
_cell_angle_beta 90.00
_cell_angle_gamma 90.00
loop_
_space_group_symop_operation_xyz
'x,y,z'
loop_
_atom_site_label
_atom_site_fract_x
_atom_site_fract_y
_atom_site_fract_z
Pd1 0.0000 0.7185 0.2459
Pd2 0.5000 0.7815 0.7541
Pd3 0.5000 0.2185 0.7541
Pd4 0.5000 0.5000 0.0682
Pd5 0.0000 0.2815 0.2459
Pd6 0.0000 0.0000 0.9318
Tb1 0.0000 0.5000 0.7948
Tb2 0.5000 0.0000 0.2052
Au1 0.0000 0.0000 0.5516
Au2 0.5000 0.5000 0.4484
# - M_tot (μB/cell) = 0.0
# - space-group type = Pmmn, No. 59
# - D(E_F) (states/eV/f.u.) = 1.3
# - theoretical density (g/cm3) = 11.79
# - calculated volume (Å³ per cell) = 190.1

---

## Q
# TbPd3Au | Alexandria | PBE | optimized geometry
data_TbPd3Au
_chemical_formula_sum 'Tb4 Pd12 Au4'
_space_group_name_H-M_alt 'P 1'
_space_group_IT_number 1
_cell_length_a 7.2464
_cell_length_b 7.2464
_cell_length_c 7.2464
_cell_angle_alpha 90.00
_cell_angle_beta 90.00
_cell_angle_gamma 90.00
loop_
_space_group_symop_operation_xyz
'x,y,z'
loop_
_atom_site_label
_atom_site_fract_x
_atom_site_fract_y
_atom_site_fract_z
Pd1 0.5905 0.6260 0.3385
Pd2 0.8385 0.9095 0.3740
Pd3 0.1615 0.4095 0.1260
Pd4 0.9095 0.3740 0.8385
Pd5 0.8740 0.6615 0.0905
Pd6 0.6615 0.0905 0.8740
Pd7 0.0905 0.8740 0.6615
Pd8 0.3385 0.5905 0.6260
Pd9 0.6260 0.3385 0.5905
Pd10 0.1260 0.1615 0.4095
Pd11 0.4095 0.1260 0.1615
Pd12 0.3740 0.8385 0.9095
Tb1 0.7288 0.7288 0.7288
Tb2 0.7712 0.2712 0.2288
Tb3 0.2712 0.2288 0.7712
Tb4 0.2288 0.7712 0.2712
Au1 0.4856 0.9856 0.5144
Au2 0.9856 0.5144 0.4856
Au3 0.0144 0.0144 0.0144
Au4 0.5144 0.4856 0.9856
# - M_tot (μB/cell) = 0.0
# - space-group type = P2_13, No. 198
# - D(E_F) (states/eV/f.u.) = 1.4
# - theoretical density (g/cm3) = 11.79
# - calculated volume (Å³ per cell) = 380.5

---

Stability, descending: P, Q

---

## P
# Tb2Pd5Au | Alexandria | PBE | optimized geometry
data_Tb2Pd5Au
_chemical_formula_sum 'Tb2 Pd5 Au1'
_space_group_name_H-M_alt 'P 1'
_space_group_IT_number 1
_cell_length_a 5.9431
_cell_length_b 5.9431
_cell_length_c 5.8441
_cell_angle_alpha 120.55
_cell_angle_beta 120.55
_cell_angle_gamma 90.02
loop_
_space_group_symop_operation_xyz
'x,y,z'
loop_
_atom_site_label
_atom_site_fract_x
_atom_site_fract_y
_atom_site_fract_z
Pd1 0.2222 0.7221 0.9442
Pd2 0.7221 0.7221 0.9443
Pd3 0.7221 0.2222 0.9442
Pd4 0.2222 0.2222 0.9442
Pd5 0.7222 0.7222 0.4445
Tb1 0.7221 0.2221 0.4443
Tb2 0.2221 0.7221 0.4443
Au1 0.2220 0.2220 0.4440
# - M_tot (μB/cell) = 0.0
# - space-group type = I4/mmm, No. 139
# - D(E_F) (states/eV/f.u.) = 2.1
# - theoretical density (g/cm3) = 12.12
# - calculated volume (Å³ per cell) = 143.5

---

## Q
# Tb2Pd5Au | Alexandria | PBE | optimized geometry
data_Tb2Pd5Au
_chemical_formula_sum 'Tb4 Pd10 Au2'
_space_group_name_H-M_alt 'P 1'
_space_group_IT_number 1
_cell_length_a 4.2042
_cell_length_b 5.8394
_cell_length_c 11.6721
_cell_angle_alpha 90.00
_cell_angle_beta 90.00
_cell_angle_gamma 90.00
loop_
_space_group_symop_operation_xyz
'x,y,z'
loop_
_atom_site_label
_atom_site_fract_x
_atom_site_fract_y
_atom_site_fract_z
Pd1 0.5000 0.2394 0.3771
Pd2 0.0000 0.9852 0.2499
Pd3 0.0000 0.4852 0.2501
Pd4 0.5000 0.7606 0.6229
Pd5 0.0000 0.0148 0.7501
Pd6 0.0000 0.5148 0.7499
Pd7 0.5000 0.7394 0.1229
Pd8 0.5000 0.2606 0.8771
Pd9 0.0000 0.0000 0.0000
Pd10 0.0000 0.5000 0.5000
Au1 0.0000 0.0000 0.5000
Au2 0.0000 0.5000 0.0000
Tb1 0.5000 0.7661 0.8704
Tb2 0.5000 0.2339 0.1296
Tb3 0.5000 0.7339 0.3704
Tb4 0.5000 0.2661 0.6296
# - M_tot (μB/cell) = 0.0
# - space-group type = Pbam, No. 55
# - D(E_F) (states/eV/f.u.) = 1.4
# - theoretical density (g/cm3) = 12.13
# - calculated volume (Å³ per cell) = 286.5

---

Stability, descending: Q, P

---

## P
# TbPd3Au3 | Alexandria | PBE | optimized geometry
data_TbPd3Au3
_chemical_formula_sum 'Tb2 Pd6 Au6'
_space_group_name_H-M_alt 'P 1'
_space_group_IT_number 1
_cell_length_a 6.6126
_cell_length_b 6.5686
_cell_length_c 6.1397
_cell_angle_alpha 90.00
_cell_angle_beta 90.00
_cell_angle_gamma 92.09
loop_
_space_group_symop_operation_xyz
'x,y,z'
loop_
_atom_site_label
_atom_site_fract_x
_atom_site_fract_y
_atom_site_fract_z
Au1 0.2479 0.7519 0.0000
Au2 0.2831 0.2826 0.5000
Au3 0.7169 0.7174 0.5000
Au4 0.2746 0.7259 0.5000
Au5 0.7254 0.2741 0.5000
Au6 0.7521 0.2481 0.0000
Pd1 0.0000 0.5000 0.7430
Pd2 0.5000 0.0000 0.2559
Pd3 0.0000 0.0000 0.7322
Pd4 0.0000 0.5000 0.2570
Pd5 0.0000 0.0000 0.2678
Pd6 0.5000 0.0000 0.7441
Tb1 0.7305 0.7300 0.0000
Tb2 0.2695 0.2700 0.0000
# - M_tot (μB/cell) = 0.0
# - space-group type = P2/m, No. 10
# - D(E_F) (states/eV/f.u.) = 2.0
# - theoretical density (g/cm3) = 13.32
# - calculated volume (Å³ per cell) = 266.5

---

## Q
# TbPd3Au3 | Alexandria | PBE | optimized geometry
data_TbPd3Au3
_chemical_formula_sum 'Tb2 Pd6 Au6'
_space_group_name_H-M_alt 'P 1'
_space_group_IT_number 1
_cell_length_a 4.8260
_cell_length_b 7.7794
_cell_length_c 7.7794
_cell_angle_alpha 120.00
_cell_angle_beta 90.00
_cell_angle_gamma 90.00
loop_
_space_group_symop_operation_xyz
'x,y,z'
loop_
_atom_site_label
_atom_site_fract_x
_atom_site_fract_y
_atom_site_fract_z
Au1 0.2500 0.3676 0.4571
Au2 0.7500 0.6324 0.5429
Au3 0.2500 0.0896 0.6324
Au4 0.2500 0.5429 0.9104
Au5 0.7500 0.9104 0.3676
Au6 0.7500 0.4571 0.0896
Tb1 0.7500 0.3333 0.6667
Tb2 0.2500 0.6667 0.3333
Pd1 0.7500 0.1946 0.2346
Pd2 0.2500 0.9599 0.1946
Pd3 0.7500 0.0401 0.8054
Pd4 0.2500 0.2346 0.0401
Pd5 0.7500 0.7654 0.9599
Pd6 0.2500 0.8054 0.7654
# - M_tot (μB/cell) = 0.0
# - space-group type = P6_3/m, No. 176
# - D(E_F) (states/eV/f.u.) = 2.7
# - theoretical density (g/cm3) = 14.04
# - calculated volume (Å³ per cell) = 252.9

---

Stability, descending: Q, P

---

## P
# TbPdAu3 | Alexandria | PBE | optimized geometry
data_TbPdAu3
_chemical_formula_sum 'Tb2 Pd2 Au6'
_space_group_name_H-M_alt 'P 1'
_space_group_IT_number 1
_cell_length_a 4.9547
_cell_length_b 5.6257
_cell_length_c 7.4449
_cell_angle_alpha 90.00
_cell_angle_beta 70.45
_cell_angle_gamma 90.00
loop_
_space_group_symop_operation_xyz
'x,y,z'
loop_
_atom_site_label
_atom_site_fract_x
_atom_site_fract_y
_atom_site_fract_z
Tb1 0.3992 0.7500 0.7032
Tb2 0.6008 0.2500 0.2968
Au1 0.8070 0.5009 0.8864
Au2 0.1930 0.0009 0.1136
Au3 0.8070 0.9991 0.8864
Au4 0.0202 0.7500 0.4636
Au5 0.1930 0.4991 0.1136
Au6 0.9798 0.2500 0.5364
Pd1 0.3722 0.2500 0.7545
Pd2 0.6278 0.7500 0.2455
# - M_tot (μB/cell) = 0.0
# - space-group type = P2_1/m, No. 11
# - D(E_F) (states/eV/f.u.) = 2.4
# - theoretical density (g/cm3) = 14.54
# - calculated volume (Å³ per cell) = 195.6

---

## Q
# TbPdAu3 | Alexandria | PBE | optimized geometry
data_TbPdAu3
_chemical_formula_sum 'Tb4 Pd4 Au12'
_space_group_name_H-M_alt 'P 1'
_space_group_IT_number 1
_cell_length_a 5.8145
_cell_length_b 7.5482
_cell_length_c 9.2239
_cell_angle_alpha 108.18
_cell_angle_beta 90.00
_cell_angle_gamma 90.00
loop_
_space_group_symop_operation_xyz
'x,y,z'
loop_
_atom_site_label
_atom_site_fract_x
_atom_site_fract_y
_atom_site_fract_z
Au1 0.2503 0.1037 0.4017
Au2 0.0016 0.2618 0.1887
Au3 0.2502 0.4978 0.9997
Au4 0.5016 0.7382 0.3113
Au5 0.7498 0.5022 0.0003
Au6 0.7503 0.8963 0.0983
Au7 0.2497 0.1037 0.9017
Au8 0.2498 0.4978 0.4997
Au9 0.9984 0.7382 0.8113
Au10 0.4984 0.2618 0.6887
Au11 0.7502 0.5022 0.5003
Au12 0.7497 0.8963 0.5983
Pd1 0.2482 0.8848 0.5960
Pd2 0.7482 0.1152 0.9040
Pd3 0.2517 0.8848 0.0960
Pd4 0.7518 0.1152 0.4040
Tb1 0.5035 0.2921 0.1967
Tb2 0.0035 0.7079 0.3033
Tb3 0.9965 0.2921 0.6967
Tb4 0.4965 0.7079 0.8033
# - M_tot (μB/cell) = 0.0
# - space-group type = P2_1/c, No. 14
# - D(E_F) (states/eV/f.u.) = 1.4
# - theoretical density (g/cm3) = 14.79
# - calculated volume (Å³ per cell) = 384.6

---

Stability, descending: Q, P